Entry 1:
{
  "formula": "NaAcMgAl",
  "functional": "PBE",
  "state": "relaxed",
  "lattice_angstrom": [[-2.6957, -4.6527, -0.4225], [1.9222, -4.4542, 2.3577], [-2.5042, -2.0667, 4.3070]],
  "species": ["Mg", "Na", "Ac", "Al"],
  "fractional_positions": [[0.7500, 0.7500, 0.7500], [0.0000, 0.0000, 0.0000], [0.2500, 0.2500, 0.2500], [0.5000, 0.5000, 0.5000]],
  "formation_energy_ev_per_atom": -0.01,
  "sg": "F-43m"
}

Entry 2:
{
  "formula": "Ac2MgAlO6",
  "functional": "PBE",
  "state": "relaxed",
  "lattice_angstrom": [[-4.2169, 3.6387, 0.3915], [-1.7345, -2.5130, 4.6746], [4.5640, 4.8278, 4.2889]],
  "species": ["Ac", "Ac", "Ac", "Ac", "Mg", "Mg", "Al", "Al", "O", "O", "O", "O", "O", "O", "O", "O", "O", "O", "O", "O"],
  "fractional_positions": [[0.5000, 0.7500, 0.2500], [0.0000, 0.2500, 0.7500], [0.5000, 0.7500, 0.7500], [0.0000, 0.2500, 0.2500], [0.5000, 0.2500, 0.5000], [0.0000, 0.7500, 0.0000], [0.0000, 0.7500, 0.5000], [0.5000, 0.2500, 0.0000], [0.5000, 0.2500, 0.2413], [0.5000, 0.2500, 0.7587], [0.0000, 0.7500, 0.2587], [0.0000, 0.7500, 0.7413], [0.2413, 0.9913, 0.5000], [0.7587, 0.9913, 0.5000], [0.2413, 0.5087, 0.5000], [0.7587, 0.5087, 0.5000], [0.7413, 0.4913, 0.0000], [0.2587, 0.4913, 0.0000], [0.2587, 0.0087, 0.0000], [0.7413, 0.0087, 0.0000]],
  "sg": "Fm-3m",
  "raw_formation_energy_ev_per_atom": -2.98
}

Entry 3:
{
  "formula": "Ac3Mg2AlO8",
  "functional": "PBE",
  "state": "relaxed",
  "lattice_angstrom": [[5.6224, 0.0000, 0.0000], [-2.8112, 4.8691, 0.0000], [0.0000, 0.0000, 7.2200]],
  "species": ["Ac", "Ac", "Ac", "Mg", "Mg", "Al", "O", "O", "O", "O", "O", "O", "O", "O"],
  "fractional_positions": [[0.3333, 0.6667, 0.6360], [0.6667, 0.3333, 0.3640], [0.0000, 0.0000, 0.0000], [0.3333, 0.6667, 0.2077], [0.6667, 0.3333, 0.7923], [0.0000, 0.0000, 0.5000], [0.3333, 0.6667, 0.9496], [0.6667, 0.3333, 0.0504], [0.1573, 0.8427, 0.3345], [0.8427, 0.1573, 0.6655], [0.1573, 0.3146, 0.3345], [0.8427, 0.6854, 0.6655], [0.6854, 0.8427, 0.3345], [0.3146, 0.1573, 0.6655]],
  "sg": "P-3m1",
  "raw_formation_energy_ev_per_atom": -2.95
}

Entry 4:
{
  "formula": "AcMgAl2Pd2",
  "functional": "PBE",
  "state": "relaxed",
  "lattice_angstrom": [[4.4689, 0.0000, 0.0000], [-2.2345, 3.8702, 0.0000], [0.0000, 0.0000, 7.3735]],
  "species": ["Ac", "Mg", "Al", "Al", "Pd", "Pd"],
  "fractional_positions": [[0.0000, 0.0000, 0.0000], [0.0000, 0.0000, 0.5000], [0.6667, 0.3333, 0.6892], [0.3333, 0.6667, 0.3108], [0.6667, 0.3333, 0.3324], [0.3333, 0.6667, 0.6676]],
  "formation_energy_ev_per_atom": -0.71,
  "sg": "P-3m1"
}

| no. | magnetic moment (μB per cell) |
| --- | --- |
| 1 | 0.00 |
| 2 | 1.93 |
| 3 | 0.00 |
| 4 | 0.00 |